Below is Sc3CuPb after structural relaxation, with properties calculated at the PBE-GGA level.

Results
final energy: -5.435 eV/atom
ΔE_f: -0.075 eV/atom
magnetic moment: 0.00 μB/f.u.
space group: Pm-3m
energy above the most stable polymorph in this dataset: 0 meV per atom

```
Sc3CuPb
1.0
-2.670 -0.034 4.172
-2.370 -4.064 -1.550
3.433 -2.832 2.175
Sc Cu Pb
3 1 1
Cartesian
-1.335 -0.017 2.086
-1.185 -2.032 -0.775
1.716 -1.416 1.087
0.000 0.000 0.000
-0.804 -3.465 2.398
```